No. 1
This record from Alexandria describes crystalline Tl2ZnCu at its relaxed geometry. The functional is GGA-PBEsol.

Its formation energy is 1.1 eV/f.u.

The space group is R-3m (No. 166, hexagonal axes) and the conventional cell measures 3.3883, 3.3883 and 24.6941 Å, with angles of 90.00, 90.00 and 120.00 degrees. The asymmetric unit holds Tl at (0.0000, 0.0000, 0.2449), Zn at (0.0000, 0.0000, 0.0000) and Cu at (0.0000, 0.0000, 0.5000).

---

No. 2
This record from Alexandria describes crystalline ScTe2Ir at its relaxed geometry. The functional is GGA-PBEsol.

The offset from the most stable computed form comes out at 1.20 eV/f.u.

The space group is R-3m (No. 166, hexagonal axes) and the conventional cell measures 4.1609, 4.1609 and 17.7505 Å, with angles of 90.00, 90.00 and 120.00 degrees. The asymmetric unit holds Sc at (0.0000, 0.0000, 0.0000), Te at (0.0000, 0.0000, 0.2406) and Ir at (0.0000, 0.0000, 0.5000).

---

no.,energy (eV/atom),density of states at the Fermi level (states/eV per atom)
1,-2.511,0.36
2,-6.176,0.84